Record 1
First-principles (PBE-GGA) data for CaTlPbCl6 after structural relaxation, as listed in the Alexandria database.

Lattice parameters (Å, degrees): 7.1663 7.1663 13.6483 90.00 90.00 120.00
Fractional positions:
Cl (0.9992, 0.3634, 0.1364)
Cl (0.3642, 0.0008, 0.1364)
Cl (0.6358, 0.6366, 0.6364)
Cl (0.3634, 0.3642, 0.8636)
Cl (0.6366, 0.0008, 0.3636)
Cl (0.0008, 0.6366, 0.8636)
Cl (0.0008, 0.3642, 0.6364)
Cl (0.9992, 0.6358, 0.3636)
Cl (0.3634, 0.9992, 0.6364)
Cl (0.6366, 0.6358, 0.1364)
Cl (0.6358, 0.9992, 0.8636)
Cl (0.3642, 0.3634, 0.3636)
Tl (0.0000, 0.0000, 0.0000)
Tl (0.0000, 0.0000, 0.5000)
Ca (0.6667, 0.3333, 0.7500)
Ca (0.3333, 0.6667, 0.2500)
Pb (0.6667, 0.3333, 0.2500)
Pb (0.3333, 0.6667, 0.7500)

---

Record 2
First-principles (PBE-GGA) data for CaTl2PbCl6 after structural relaxation, as listed in the Alexandria database.

Lattice parameters (Å, degrees): 7.4579 7.8695 10.7984 90.00 89.90 90.00
Fractional positions:
Ca (0.5000, 0.0000, 0.5000)
Ca (0.0000, 0.5000, 0.0000)
Tl (0.0228, 0.9301, 0.2509)
Tl (0.5228, 0.5699, 0.7509)
Tl (0.4772, 0.4301, 0.2491)
Tl (0.9772, 0.0699, 0.7491)
Cl (0.1084, 0.4683, 0.7573)
Cl (0.8149, 0.7946, 0.9451)
Cl (0.8004, 0.8096, 0.5528)
Cl (0.6084, 0.0317, 0.2573)
Cl (0.8916, 0.5317, 0.2427)
Cl (0.3916, 0.9683, 0.7427)
Cl (0.1996, 0.1904, 0.4472)
Cl (0.6851, 0.2946, 0.5549)
Cl (0.6996, 0.3096, 0.9472)
Cl (0.3149, 0.7054, 0.4451)
Cl (0.3004, 0.6904, 0.0528)
Cl (0.1851, 0.2054, 0.0549)
Pb (0.5000, 0.0000, 0.0000)
Pb (0.0000, 0.5000, 0.5000)

---

Record 3
First-principles (PBE-GGA) data for CaPbW2Cl after structural relaxation, as listed in the Alexandria database.

Lattice parameters (Å, degrees): 5.1803 5.8097 5.1803 90.00 90.00 90.00
Fractional positions:
Cl (0.5000, 0.5000, 0.5000)
Ca (0.0000, 0.0000, 0.0000)
W (0.5000, 0.0000, 0.0000)
W (0.0000, 0.0000, 0.5000)
Pb (0.0000, 0.5000, 0.0000)

---

Record 4
First-principles (PBE-GGA) data for CaPdCl3 after structural relaxation, as listed in the Alexandria database.

Output
Energy relative to the lowest polymorph listed for this composition in eV per formula unit: 0.00

Lattice parameters (Å, degrees): 4.9559 4.9559 4.9559 90.00 90.00 90.00
Fractional positions:
Cl (0.5000, 0.0000, 0.0000)
Cl (0.0000, 0.5000, 0.0000)
Cl (0.0000, 0.0000, 0.5000)
Pd (0.0000, 0.0000, 0.0000)
Ca (0.5000, 0.5000, 0.5000)

---

Record 5
First-principles (PBE-GGA) data for CaPdCl6 after structural relaxation, as listed in the Alexandria database.

Output
Energy relative to the lowest polymorph listed for this composition in eV per formula unit: 0.42

Lattice parameters (Å, degrees): 6.3376 6.3384 6.8760 62.56 62.55 59.99
Fractional positions:
Cl (0.2124, 0.9492, 0.2326)
Cl (0.6058, 0.2123, 0.2326)
Cl (0.7876, 0.0508, 0.7674)
Cl (0.3942, 0.7877, 0.7674)
Cl (0.0508, 0.3941, 0.7674)
Cl (0.9492, 0.6059, 0.2326)
Ca (0.5000, 0.5000, 0.5000)
Pd (0.0000, 0.0000, 0.0000)

---

Record 6
First-principles (PBE-GGA) data for Ca2PdCl after structural relaxation, as listed in the Alexandria database.

Output
Energy relative to the lowest polymorph listed for this composition in eV per formula unit: 0.67

Lattice parameters (Å, degrees): 7.4186 7.4186 6.6866 56.31 56.31 90.00
Fractional positions:
Ca (0.6246, 0.1250, 0.2500)
Ca (0.8750, 0.8746, 0.7500)
Ca (0.3750, 0.3754, 0.7500)
Ca (0.1254, 0.6250, 0.2500)
Pd (0.7500, 0.2500, 0.5000)
Pd (0.0000, 0.0000, 0.0000)
Cl (0.5000, 0.5000, 0.0000)
Cl (0.2500, 0.7500, 0.5000)

---

Record 7
First-principles (PBE-GGA) data for Ca2PdCl after structural relaxation, as listed in the Alexandria database.

Output
Energy relative to the lowest polymorph listed for this composition in eV per formula unit: 0.07

Lattice parameters (Å, degrees): 3.5201 3.5201 7.7616 90.00 90.00 90.00
Fractional positions:
Pd (0.5000, 0.5000, 0.0000)
Ca (0.0000, 0.0000, 0.2222)
Ca (0.0000, 0.0000, 0.7778)
Cl (0.5000, 0.5000, 0.5000)

---

Record 8
First-principles (PBE-GGA) data for CaPdCl3 after structural relaxation, as listed in the Alexandria database.

Output
Energy relative to the lowest polymorph listed for this composition in eV per formula unit: 0.64

Lattice parameters (Å, degrees): 5.2999 5.2999 5.2999 90.00 90.00 90.00
Fractional positions:
Cl (0.0000, 0.0000, 0.5000)
Cl (0.5000, 0.0000, 0.0000)
Cl (0.0000, 0.5000, 0.0000)
Ca (0.0000, 0.0000, 0.0000)
Pd (0.5000, 0.5000, 0.5000)

---

Record 9
First-principles (PBE-GGA) data for CaPdCl2 after structural relaxation, as listed in the Alexandria database.

Output
Energy relative to the lowest polymorph listed for this composition in eV per formula unit: 0.24

Lattice parameters (Å, degrees): 4.9398 4.9398 8.6479 73.40 73.40 90.00
Fractional positions:
Ca (0.2500, 0.7500, 0.5000)
Ca (0.5000, 0.5000, 0.0000)
Cl (0.8750, 0.8950, 0.7500)
Cl (0.3750, 0.3550, 0.7500)
Cl (0.6450, 0.1250, 0.2500)
Cl (0.1050, 0.6250, 0.2500)
Pd (0.0000, 0.0000, 0.0000)
Pd (0.7500, 0.2500, 0.5000)

---

Record 10
First-principles (PBE-GGA) data for CaPdCl6 after structural relaxation, as listed in the Alexandria database.

Output
Energy relative to the lowest polymorph listed for this composition in eV per formula unit: 0.00

Lattice parameters (Å, degrees): 6.6421 6.6421 9.8993 90.90 90.90 72.69
Fractional positions:
Cl (0.7960, 0.8589, 0.5028)
Cl (0.8496, 0.4328, 0.2957)
Cl (0.2481, 0.6131, 0.3796)
Cl (0.1411, 0.2040, 0.9972)
Cl (0.6131, 0.2481, 0.8796)
Cl (0.5672, 0.1504, 0.2043)
Cl (0.7519, 0.3869, 0.6204)
Cl (0.1504, 0.5672, 0.7043)
Cl (0.4328, 0.8496, 0.7957)
Cl (0.3869, 0.7519, 0.1204)
Cl (0.2040, 0.1411, 0.4972)
Cl (0.8589, 0.7960, 0.0028)
Ca (0.0106, 0.9894, 0.2500)
Ca (0.9894, 0.0106, 0.7500)
Pd (0.5000, 0.0000, 0.0000)
Pd (0.0000, 0.5000, 0.5000)

---

Record 11
First-principles (PBE-GGA) data for Ca2PdCl after structural relaxation, as listed in the Alexandria database.

Output
Energy relative to the lowest polymorph listed for this composition in eV per formula unit: 0.00

Lattice parameters (Å, degrees): 4.0238 4.0238 7.9474 75.34 75.34 60.00
Fractional positions:
Pd (0.6672, 0.6672, 0.9984)
Ca (0.0738, 0.0738, 0.7785)
Ca (0.2612, 0.2612, 0.2165)
Cl (0.4978, 0.4978, 0.5066)

---

Record 12
First-principles (PBE-GGA) data for Ca2PdCl after structural relaxation, as listed in the Alexandria database.

Output
Energy relative to the lowest polymorph listed for this composition in eV per formula unit: 2.29

Lattice parameters (Å, degrees): 3.5893 3.5893 9.6937 79.33 79.33 60.00
Fractional positions:
Pd (0.0000, 0.0000, 0.0000)
Ca (0.9082, 0.9082, 0.2754)
Ca (0.0918, 0.0918, 0.7246)
Cl (0.5000, 0.5000, 0.5000)

---

Across the entries above, spin magnetization takes the values 0.0 0.0 5.3 0.0 0.0 0.0 0.0 1.0 0.0 0.0 0.0 0.0 μB per cell, respectively.
Across the entries above, ΔE_f (raw) takes the values -1.385 -1.484 2.665 -1.048 -1.034 -0.971 -1.122 -0.921 -1.189 -1.087 -1.139 -0.567 eV per atom, respectively.